[1]
# ZnCd2Ir | Alexandria | GGA-PBE | optimized geometry
# Magnetization in μB/f.u.: 0.0
# DOS(E_F) in states/eV per cell: 1.43
# Calculated formation energy in kJ/mol of atoms: 4.3
data_ZnCd2Ir
_chemical_formula_sum 'Zn1 Cd2 Ir1'
_cell_length_a 3.107
_cell_length_b 4.349
_cell_length_c 5.531
_cell_angle_alpha 90.00
_cell_angle_beta 106.18
_cell_angle_gamma 90.00
_space_group_name_H-M_alt 'P 1 m 1'
_space_group_IT_number 6
_space_group_name_Hall 'P -2y'
loop_
_atom_site_label
_atom_site_type_symbol
_atom_site_fract_x
_atom_site_fract_y
_atom_site_fract_z
Zn1 Zn 0.000 0.000 0.000
Cd1 Cd 0.275 0.000 0.547
Cd2 Cd 0.609 0.500 0.217
Ir1 Ir 0.878 0.500 0.753


[2]
# Pu2MnGa3 | Alexandria | GGA-PBE | optimized geometry
# Magnetization in μB/f.u.: 0.2
# DOS(E_F) in states/eV per cell: 19.42
# ΔE to the lowest computed polymorph in meV per atom: 230.3
# Calculated formation energy in kJ/mol of atoms: -4.7
data_Pu2MnGa3
_chemical_formula_sum 'Pu4 Mn2 Ga6'
_cell_length_a 3.856
_cell_length_b 12.852
_cell_length_c 4.207
_cell_angle_alpha 90.00
_cell_angle_beta 90.00
_cell_angle_gamma 90.00
_space_group_name_H-M_alt 'C m m m'
_space_group_IT_number 65
_space_group_name_Hall '-C 2 2'
loop_
_atom_site_label
_atom_site_type_symbol
_atom_site_fract_x
_atom_site_fract_y
_atom_site_fract_z
Pu1 Pu 0.000 0.195 0.000
Mn1 Mn 0.000 0.500 0.000
Ga1 Ga 0.000 0.000 0.500
Ga2 Ga 0.000 0.361 0.500


[3]
# Sb8Ir2Os | Alexandria | GGA-PBE | optimized geometry
# Magnetization in μB/f.u.: 0.0
# Formation energy without anion corrections in meV per atom: 66
# DOS(E_F) in states/eV per cell: 7.19
data_Sb8Ir2Os
_chemical_formula_sum 'Sb8 Ir2 Os1'
_cell_length_a 5.202
_cell_length_b 7.796
_cell_length_c 7.797
_cell_angle_alpha 69.75
_cell_angle_beta 89.80
_cell_angle_gamma 89.78
_space_group_name_H-M_alt 'P -1'
_space_group_IT_number 2
_space_group_name_Hall '-P 1'
loop_
_atom_site_label
_atom_site_type_symbol
_atom_site_fract_x
_atom_site_fract_y
_atom_site_fract_z
Sb1 Sb 0.194 0.290 0.376
Sb2 Sb 0.194 0.875 0.790
Sb3 Sb 0.208 0.831 0.331
Sb4 Sb 0.255 0.415 0.914
Ir1 Ir 0.255 0.628 0.128
Os1 Os 0.500 0.000 0.500


[4]
# Pm3Cu4Pt2 | Alexandria | GGA-PBE | optimized geometry
# Magnetization in μB/f.u.: 0.0
# DOS(E_F) in states/eV per cell: 11.09
# Calculated formation energy in kJ/mol of atoms: -56.2
data_Pm3Cu4Pt2
_chemical_formula_sum 'Pm6 Cu8 Pt4'
_cell_length_a 10.728
_cell_length_b 4.268
_cell_length_c 8.494
_cell_angle_alpha 90.00
_cell_angle_beta 110.20
_cell_angle_gamma 90.00
_space_group_name_H-M_alt 'C 1 2/m 1'
_space_group_IT_number 12
_space_group_name_Hall '-C 2y'
loop_
_atom_site_label
_atom_site_type_symbol
_atom_site_fract_x
_atom_site_fract_y
_atom_site_fract_z
Pm1 Pm 0.000 0.000 0.000
Pm2 Pm 0.173 0.500 0.659
Cu1 Cu 0.042 0.000 0.385
Cu2 Cu 0.226 0.500 0.053
Pt1 Pt 0.110 0.500 0.272


[5]
# RbPrTl2Br6 | Alexandria | GGA-PBE | optimized geometry
# Magnetization in μB/f.u.: 0.0
# Formation energy without anion corrections in meV per atom: -1465
# DOS(E_F) in states/eV per cell: 0.00
data_RbPrTl2Br6
_chemical_formula_sum 'Rb1 Pr1 Tl2 Br6'
_cell_length_a 8.308
_cell_length_b 8.314
_cell_length_c 8.662
_cell_angle_alpha 61.35
_cell_angle_beta 61.34
_cell_angle_gamma 60.03
_space_group_name_H-M_alt 'P 1'
_space_group_IT_number 1
_space_group_name_Hall 'P 1'
loop_
_atom_site_label
_atom_site_type_symbol
_atom_site_fract_x
_atom_site_fract_y
_atom_site_fract_z
Rb1 Rb 0.000 0.000 0.000
Pr1 Pr 0.511 0.511 0.467
Tl1 Tl 0.204 0.203 0.389
Tl2 Tl 0.713 0.712 0.862
Br1 Br 0.161 0.757 0.679
Br2 Br 0.326 0.594 0.205
Br3 Br 0.402 0.161 0.679
Br4 Br 0.594 0.874 0.205
Br5 Br 0.758 0.401 0.679
Br6 Br 0.874 0.327 0.205


[6]
# HoAgSnTe3 | Alexandria | GGA-PBE | optimized geometry
# Magnetization in μB/f.u.: 0.0
# Formation energy without anion corrections in meV per atom: -660
data_HoAgSnTe3
_chemical_formula_sum 'Ho2 Ag2 Sn2 Te6'
_cell_length_a 8.872
_cell_length_b 4.333
_cell_length_c 9.849
_cell_angle_alpha 90.00
_cell_angle_beta 104.46
_cell_angle_gamma 90.00
_space_group_name_H-M_alt 'P 1 21/m 1'
_space_group_IT_number 11
_space_group_name_Hall '-P 2yb'
loop_
_atom_site_label
_atom_site_type_symbol
_atom_site_fract_x
_atom_site_fract_y
_atom_site_fract_z
Ho1 Ho 0.178 0.250 0.175
Ag1 Ag 0.415 0.750 0.415
Sn1 Sn 0.307 0.750 0.756
Te1 Te 0.074 0.250 0.848
Te2 Te 0.239 0.250 0.495
Te3 Te 0.408 0.750 0.127


[7]
# Ca2TmNbN4 | Alexandria | GGA-PBE | optimized geometry
# Magnetization in μB/f.u.: 0.0
# Formation energy without anion corrections in meV per atom: -1281
# DOS(E_F) in states/eV per cell: 0.24
data_Ca2TmNbN4
_chemical_formula_sum 'Ca2 Tm1 Nb1 N4'
_cell_length_a 5.771
_cell_length_b 3.315
_cell_length_c 5.913
_cell_angle_alpha 90.00
_cell_angle_beta 108.78
_cell_angle_gamma 90.00
_space_group_name_H-M_alt 'P 1 2/m 1'
_space_group_IT_number 10
_space_group_name_Hall '-P 2y'
loop_
_atom_site_label
_atom_site_type_symbol
_atom_site_fract_x
_atom_site_fract_y
_atom_site_fract_z
Ca1 Ca 0.000 0.000 0.000
Ca2 Ca 0.500 0.500 0.000
Tm1 Tm 0.000 0.500 0.500
Nb1 Nb 0.500 0.000 0.500
N1 N 0.263 0.000 0.715
N2 N 0.276 0.500 0.285


[8]
# GaTcIO2 | Alexandria | GGA-PBE | optimized geometry
# Magnetization in μB/f.u.: 0.4
# Formation energy without anion corrections in meV per atom: -465
# DOS(E_F) in states/eV per cell: 2.89
# ΔE to the lowest computed polymorph in meV per atom: 0.0
data_GaTcIO2
_chemical_formula_sum 'Ga1 Tc1 I1 O2'
_cell_length_a 3.984
_cell_length_b 3.984
_cell_length_c 5.721
_cell_angle_alpha 90.00
_cell_angle_beta 90.00
_cell_angle_gamma 90.00
_space_group_name_H-M_alt 'P 4/m m m'
_space_group_IT_number 123
_space_group_name_Hall '-P 4 2'
loop_
_atom_site_label
_atom_site_type_symbol
_atom_site_fract_x
_atom_site_fract_y
_atom_site_fract_z
Ga1 Ga 0.000 0.000 0.000
Tc1 Tc 0.500 0.500 0.500
I1 I 0.500 0.500 0.000
O1 O 0.000 0.500 0.500


[9]
# NaReSb2Te | Alexandria | GGA-PBE | optimized geometry
# Magnetization in μB/f.u.: 0.0
# Formation energy without anion corrections in meV per atom: 398
# DOS(E_F) in states/eV per cell: 6.60
# ΔE to the lowest computed polymorph in meV per atom: 0.0
data_NaReSb2Te
_chemical_formula_sum 'Na1 Re1 Sb2 Te1'
_cell_length_a 5.088
_cell_length_b 5.088
_cell_length_c 6.088
_cell_angle_alpha 90.00
_cell_angle_beta 90.00
_cell_angle_gamma 90.00
_space_group_name_H-M_alt 'P 4/m m m'
_space_group_IT_number 123
_space_group_name_Hall '-P 4 2'
loop_
_atom_site_label
_atom_site_type_symbol
_atom_site_fract_x
_atom_site_fract_y
_atom_site_fract_z
Na1 Na 0.000 0.000 0.000
Re1 Re 0.500 0.500 0.500
Sb1 Sb 0.000 0.500 0.500
Te1 Te 0.500 0.500 0.000


[10]
# GaSBr2N | Alexandria | GGA-PBE | optimized geometry
# Magnetization in μB/f.u.: 0.0
# Formation energy without anion corrections in meV per atom: 583
# DOS(E_F) in states/eV per cell: 1.68
data_GaSBr2N
_chemical_formula_sum 'Ga1 S1 Br2 N1'
_cell_length_a 6.503
_cell_length_b 6.503
_cell_length_c 3.220
_cell_angle_alpha 90.00
_cell_angle_beta 90.00
_cell_angle_gamma 90.00
_space_group_name_H-M_alt 'P 4/m m m'
_space_group_IT_number 123
_space_group_name_Hall '-P 4 2'
loop_
_atom_site_label
_atom_site_type_symbol
_atom_site_fract_x
_atom_site_fract_y
_atom_site_fract_z
Ga1 Ga 0.000 0.000 0.000
S1 S 0.500 0.500 0.000
Br1 Br 0.000 0.500 0.500
N1 N 0.500 0.500 0.500


[11]
# GdRhAu | Alexandria | GGA-PBE | optimized geometry
# Magnetization in μB/f.u.: 7.0
# DOS(E_F) in states/eV per cell: 2.67
# ΔE to the lowest computed polymorph in meV per atom: 9.9
# Calculated formation energy in kJ/mol of atoms: -55.4
data_GdRhAu
_chemical_formula_sum 'Gd1 Rh1 Au1'
_cell_length_a 4.5928
_cell_length_b 4.5928
_cell_length_c 3.4762
_cell_angle_alpha 90.00
_cell_angle_beta 90.00
_cell_angle_gamma 120.00
_space_group_name_H-M_alt 'P -6 m 2'
_space_group_IT_number 187
_space_group_name_Hall 'P -6 2'
loop_
_atom_site_label
_atom_site_type_symbol
_atom_site_fract_x
_atom_site_fract_y
_atom_site_fract_z
Gd1 Gd 0.0000 0.0000 0.0000
Rh1 Rh 0.6667 0.3333 0.5000
Au1 Au 0.3333 0.6667 0.5000


[12]
# LiScNi4 | Alexandria | GGA-PBE | optimized geometry
# Magnetization in μB/f.u.: 0.0
# DOS(E_F) in states/eV per cell: 23.97
# Calculated formation energy in kJ/mol of atoms: -33.1
data_LiScNi4
_chemical_formula_sum 'Li4 Sc4 Ni16'
_cell_length_a 6.777
_cell_length_b 6.777
_cell_length_c 6.777
_cell_angle_alpha 90.00
_cell_angle_beta 90.00
_cell_angle_gamma 90.00
_space_group_name_H-M_alt 'F -4 3 m'
_space_group_IT_number 216
_space_group_name_Hall 'F -4 2 3'
loop_
_atom_site_label
_atom_site_type_symbol
_atom_site_fract_x
_atom_site_fract_y
_atom_site_fract_z
Li1 Li 0.000 0.000 0.000
Sc1 Sc 0.250 0.250 0.250
Ni1 Ni 0.125 0.125 0.625


[13]
# Pm2PdAu5 | Alexandria | GGA-PBE | optimized geometry
# Magnetization in μB/f.u.: 0.0
# DOS(E_F) in states/eV per cell: 7.00
# Calculated formation energy in kJ/mol of atoms: -52.1
data_Pm2PdAu5
_chemical_formula_sum 'Pm4 Pd2 Au10'
_cell_length_a 6.214
_cell_length_b 6.214
_cell_length_c 8.770
_cell_angle_alpha 90.00
_cell_angle_beta 90.00
_cell_angle_gamma 90.00
_space_group_name_H-M_alt 'I 4 m m'
_space_group_IT_number 107
_space_group_name_Hall 'I 4 -2'
loop_
_atom_site_label
_atom_site_type_symbol
_atom_site_fract_x
_atom_site_fract_y
_atom_site_fract_z
Pm1 Pm 0.000 0.500 0.000
Pd1 Pd 0.000 0.000 0.493
Au1 Au 0.000 0.000 0.028
Au2 Au 0.241 0.241 0.751


[14]
# NbFe2Co2 | Alexandria | GGA-PBE | optimized geometry
# Magnetization in μB/f.u.: 0.0
# DOS(E_F) in states/eV per cell: 20.45
# ΔE to the lowest computed polymorph in meV per atom: 86.4
# Calculated formation energy in kJ/mol of atoms: 14.4
data_NbFe2Co2
_chemical_formula_sum 'Nb2 Fe4 Co4'
_cell_length_a 6.812
_cell_length_b 6.812
_cell_length_c 2.571
_cell_angle_alpha 90.00
_cell_angle_beta 90.00
_cell_angle_gamma 90.00
_space_group_name_H-M_alt 'P 4/m b m'
_space_group_IT_number 127
_space_group_name_Hall '-P 4 2ab'
loop_
_atom_site_label
_atom_site_type_symbol
_atom_site_fract_x
_atom_site_fract_y
_atom_site_fract_z
Nb1 Nb 0.000 0.000 0.000
Fe1 Fe 0.172 0.328 0.500
Co1 Co 0.123 0.623 0.000


[15]
# Rb2TlGaO4 | Alexandria | GGA-PBE | optimized geometry
# Magnetization in μB/f.u.: 0.0
# Formation energy without anion corrections in meV per atom: -1381
data_Rb2TlGaO4
_chemical_formula_sum 'Rb4 Tl2 Ga2 O8'
_cell_length_a 6.155
_cell_length_b 6.155
_cell_length_c 8.060
_cell_angle_alpha 90.00
_cell_angle_beta 90.00
_cell_angle_gamma 90.00
_space_group_name_H-M_alt 'I -4'
_space_group_IT_number 82
_space_group_name_Hall 'I -4'
loop_
_atom_site_label
_atom_site_type_symbol
_atom_site_fract_x
_atom_site_fract_y
_atom_site_fract_z
Rb1 Rb 0.000 0.000 0.000
Rb2 Rb 0.000 0.500 0.250
Tl1 Tl 0.000 0.500 0.750
Ga1 Ga 0.000 0.000 0.500
O1 O 0.141 0.777 0.618


[16]
# TlNi2Rh | Alexandria | GGA-PBE | optimized geometry
# Magnetization in μB/f.u.: 1.2
# DOS(E_F) in states/eV per cell: 5.25
# ΔE to the lowest computed polymorph in meV per atom: 2.7
# Calculated formation energy in kJ/mol of atoms: 19.2
data_TlNi2Rh
_chemical_formula_sum 'Tl1 Ni2 Rh1'
_cell_length_a 3.884
_cell_length_b 3.884
_cell_length_c 3.873
_cell_angle_alpha 90.00
_cell_angle_beta 90.00
_cell_angle_gamma 90.00
_space_group_name_H-M_alt 'P 4/m m m'
_space_group_IT_number 123
_space_group_name_Hall '-P 4 2'
loop_
_atom_site_label
_atom_site_type_symbol
_atom_site_fract_x
_atom_site_fract_y
_atom_site_fract_z
Tl1 Tl 0.000 0.000 0.000
Ni1 Ni 0.000 0.500 0.500
Rh1 Rh 0.500 0.500 0.000


[17]
# Rb2SrHg2 | Alexandria | GGA-PBE | optimized geometry
# Magnetization in μB/f.u.: 0.0
# DOS(E_F) in states/eV per cell: 5.84
# ΔE to the lowest computed polymorph in meV per atom: 108.5
# Calculated formation energy in kJ/mol of atoms: -8.9
data_Rb2SrHg2
_chemical_formula_sum 'Rb4 Sr2 Hg4'
_cell_length_a 5.246
_cell_length_b 5.246
_cell_length_c 16.126
_cell_angle_alpha 90.00
_cell_angle_beta 90.00
_cell_angle_gamma 90.00
_space_group_name_H-M_alt 'I 4/m m m'
_space_group_IT_number 139
_space_group_name_Hall '-I 4 2'
loop_
_atom_site_label
_atom_site_type_symbol
_atom_site_fract_x
_atom_site_fract_y
_atom_site_fract_z
Rb1 Rb 0.000 0.500 0.250
Sr1 Sr 0.000 0.000 0.000
Hg1 Hg 0.000 0.000 0.410


[18]
# MgUGa2Rh2 | Alexandria | GGA-PBE | optimized geometry
# Magnetization in μB/f.u.: 2.0
# DOS(E_F) in states/eV per cell: 7.14
# Calculated formation energy in kJ/mol of atoms: -45.1
data_MgUGa2Rh2
_chemical_formula_sum 'Mg1 U1 Ga2 Rh2'
_cell_length_a 4.3649
_cell_length_b 4.3649
_cell_length_c 6.4282
_cell_angle_alpha 90.00
_cell_angle_beta 90.00
_cell_angle_gamma 120.00
_space_group_name_H-M_alt 'P -3 m 1'
_space_group_IT_number 164
_space_group_name_Hall '-P 3 2"'
loop_
_atom_site_label
_atom_site_type_symbol
_atom_site_fract_x
_atom_site_fract_y
_atom_site_fract_z
Mg1 Mg 0.0000 0.0000 0.0000
U1 U 0.0000 0.0000 0.5000
Ga1 Ga 0.3333 0.6667 0.2038
Rh1 Rh 0.3333 0.6667 0.7544


[19]
# Na2Mg2Tl | Alexandria | GGA-PBE | optimized geometry
# Magnetization in μB/f.u.: 0.0
# DOS(E_F) in states/eV per cell: 4.67
# ΔE to the lowest computed polymorph in meV per atom: 113.6
# Calculated formation energy in kJ/mol of atoms: 17.7
data_Na2Mg2Tl
_chemical_formula_sum 'Na4 Mg4 Tl2'
_cell_length_a 4.233
_cell_length_b 4.233
_cell_length_c 16.482
_cell_angle_alpha 90.00
_cell_angle_beta 90.00
_cell_angle_gamma 90.00
_space_group_name_H-M_alt 'I 4/m m m'
_space_group_IT_number 139
_space_group_name_Hall '-I 4 2'
loop_
_atom_site_label
_atom_site_type_symbol
_atom_site_fract_x
_atom_site_fract_y
_atom_site_fract_z
Na1 Na 0.000 0.500 0.250
Mg1 Mg 0.000 0.000 0.091
Tl1 Tl 0.000 0.000 0.500


[20]
# PaCl2F2 | Alexandria | GGA-PBE | optimized geometry
# Magnetization in μB/f.u.: 1.0
# Formation energy without anion corrections in meV per atom: -2762
# DOS(E_F) in states/eV per cell: 22.17
# ΔE to the lowest computed polymorph in meV per atom: 19.1
data_PaCl2F2
_chemical_formula_sum 'Pa4 Cl8 F8'
_cell_length_a 12.321
_cell_length_b 5.833
_cell_length_c 6.056
_cell_angle_alpha 90.00
_cell_angle_beta 100.95
_cell_angle_gamma 90.00
_space_group_name_H-M_alt 'C 1 2/c 1'
_space_group_IT_number 15
_space_group_name_Hall '-C 2yc'
loop_
_atom_site_label
_atom_site_type_symbol
_atom_site_fract_x
_atom_site_fract_y
_atom_site_fract_z
Pa1 Pa 0.000 0.222 0.250
Cl1 Cl 0.129 0.426 0.621
F1 F 0.093 0.063 0.984